1.
An optimized crystal structure of Pu4CN3. Source: the Alexandria database, functional PBE-GGA.

The structure in POSCAR format:
```
Pu4CN3
1.0
6.070 0.000 0.000
0.000 7.010 0.000
-2.026 0.000 5.728
Pu C N
8 2 6
Direct
0.247 0.126 0.001
0.247 0.874 0.501
0.250 0.377 0.497
0.250 0.623 0.997
0.750 0.377 0.003
0.750 0.623 0.503
0.753 0.126 0.499
0.753 0.874 0.999
0.500 0.129 0.750
0.500 0.871 0.250
0.000 0.127 0.250
0.000 0.375 0.750
0.000 0.625 0.250
0.000 0.873 0.750
0.500 0.376 0.250
0.500 0.624 0.750
```

## Properties
Formation energy without anion corrections: -0.920 eV/atom
DOS at the Fermi energy: 2.951 states/eV/atom
Total magnetization: 37.06 Bohr magnetons per cell



2.
An optimized crystal structure of Pu4C2N. Source: the Alexandria database, functional PBE-GGA.

The structure in POSCAR format:
```
Pu4C2N
1.0
1.728 -5.801 0.000
1.728 5.801 0.000
0.000 0.000 11.607
Pu C N
8 4 2
Direct
0.000 0.000 0.000
0.000 0.000 0.500
0.283 0.717 0.627
0.283 0.717 0.873
0.450 0.550 0.250
0.550 0.450 0.750
0.717 0.283 0.127
0.717 0.283 0.373
0.351 0.649 0.061
0.351 0.649 0.439
0.649 0.351 0.561
0.649 0.351 0.939
0.083 0.917 0.250
0.917 0.083 0.750
```

## Properties
Formation energy without anion corrections: -0.159 eV/atom
DOS at the Fermi energy: 3.505 states/eV/atom
Total magnetization: 19.60 Bohr magnetons per cell



3.
An optimized crystal structure of Pu3CN2. Source: the Alexandria database, functional PBE-GGA.

The structure in POSCAR format:
```
Pu3CN2
1.0
6.999 0.000 0.000
0.000 4.961 0.000
0.000 0.000 10.443
Pu C N
12 4 8
Direct
0.121 0.250 0.085
0.125 0.250 0.748
0.128 0.250 0.415
0.372 0.750 0.915
0.375 0.750 0.248
0.379 0.750 0.585
0.621 0.250 0.415
0.625 0.250 0.752
0.628 0.250 0.085
0.872 0.750 0.585
0.875 0.750 0.252
0.879 0.750 0.915
0.129 0.750 0.413
0.371 0.250 0.913
0.629 0.750 0.087
0.871 0.250 0.587
0.124 0.750 0.080
0.125 0.750 0.750
0.375 0.250 0.250
0.376 0.250 0.580
0.624 0.750 0.420
0.625 0.750 0.750
0.875 0.250 0.250
0.876 0.250 0.920
```

## Properties
Excess energy over the best structure of this formula in the dataset: 0.060 eV per atom
Formation energy without anion corrections: -0.749 eV/atom
DOS at the Fermi energy: 2.834 states/eV/atom
Total magnetization: 18.36 Bohr magnetons per cell



4.
An optimized crystal structure of PuUCN. Source: the Alexandria database, functional PBE-GGA.

The structure in POSCAR format:
```
PuUCN
1.0
3.945 0.000 0.000
-1.972 3.416 0.000
0.000 0.000 5.202
Pu U C N
1 1 1 1
Direct
0.000 0.000 0.000
0.667 0.333 0.482
0.667 0.333 0.911
0.000 0.000 0.523
```

## Properties
Formation energy without anion corrections: -0.446 eV/atom
DOS at the Fermi energy: 2.021 states/eV/atom
Total magnetization: 7.00 Bohr magnetons per cell



5.
An optimized crystal structure of Rb3CN. Source: the Alexandria database, functional PBE-GGA.

The structure in POSCAR format:
```
Rb3CN
1.0
5.646 0.000 0.000
0.000 5.646 0.000
0.000 0.000 5.646
Rb C N
3 1 1
Direct
0.000 0.000 0.500
0.000 0.500 0.000
0.500 0.000 0.000
0.500 0.500 0.500
0.000 0.000 0.000
```

## Properties
Excess energy over the best structure of this formula in the dataset: 0.000 eV per atom
Formation energy without anion corrections: 1.385 eV/atom
DOS at the Fermi energy: 0.479 states/eV/atom
Total magnetization: 4.00 Bohr magnetons per cell



6.
An optimized crystal structure of Rb2CN3. Source: the Alexandria database, functional PBE-GGA.

The structure in POSCAR format:
```
Rb2CN3
1.0
0.000 5.083 5.345
4.236 0.000 5.345
4.236 5.083 0.000
Rb C N
4 2 6
Direct
0.186 0.814 0.814
0.250 0.250 0.250
0.750 0.750 0.750
0.814 0.186 0.186
0.361 0.639 0.361
0.639 0.361 0.639
0.232 0.768 0.232
0.317 0.453 0.547
0.453 0.317 0.683
0.547 0.683 0.317
0.683 0.547 0.453
0.768 0.232 0.768
```

## Properties
Formation energy without anion corrections: 0.086 eV/atom
DOS at the Fermi energy: 0.071 states/eV/atom
Total magnetization: 2.01 Bohr magnetons per cell